(1)
Density functional theory data (PBE) for a relaxed LiSbCl2 crystal. Values from VASP.

Properties
Uncorrected formation energy: -0.7528 eV/atom
ΔE to the lowest computed polymorph: 31.3 kJ/mol of atoms

Cell and atoms, written as Quantum ESPRESSO input:
```
&SYSTEM
  ibrav = 0, nat = 4, ntyp = 3
/
ATOMIC_SPECIES
Li 6.94 Li.upf
Sb 121.76 Sb.upf
Cl 35.45 Cl.upf
CELL_PARAMETERS angstrom
-1.594 3.710 4.275
1.594 -3.710 4.275
1.594 3.710 -4.275
ATOMIC_POSITIONS crystal
Li 0.000 0.000 0.000
Sb 0.500 0.500 0.000
Cl 0.208 0.708 0.500
Cl 0.792 0.292 0.500
```

---

(2)
Density functional theory data (PBE) for a relaxed GaFe4Co2 crystal. Values from VASP.

Properties
ΔE_f: 118 meV per atom

Cell and atoms, written as Quantum ESPRESSO input:
```
&SYSTEM
  ibrav = 0, nat = 7, ntyp = 3
/
ATOMIC_SPECIES
Ga 69.72 Ga.upf
Fe 55.84 Fe.upf
Co 58.93 Co.upf
CELL_PARAMETERS angstrom
1.397 -10.909 0.000
1.397 10.909 0.000
0.000 0.000 2.781
ATOMIC_POSITIONS crystal
Ga 0.000 0.000 0.000
Fe 0.142 0.858 0.000
Fe 0.426 0.574 0.500
Fe 0.574 0.426 0.500
Fe 0.858 0.142 0.000
Co 0.294 0.706 0.500
Co 0.706 0.294 0.500
```

---

Number 1: E -3.19 eV/atom. Number 2: E -7.18 eV/atom.